Model P:
Entry from Alexandria via LeMat-Bulk: a geometry-optimized Be2AuBr structure (PBE-GGA).

As for the volume: 20.04 A^3/atom.

The structure belongs to space group P4mm (No. 99); the cell edges are 3.284, 3.284 and 7.434 Å and the angles 90.00°, 90.00° and 90.00°. The inequivalent atoms are Be at (0.000, 0.000, 0.000), Be at (0.500, 0.500, 0.272), Au at (0.500, 0.500, 0.973) and Br at (0.000, 0.000, 0.405).

---

Model Q:
Entry from Alexandria via LeMat-Bulk: a geometry-optimized Be2AuBr structure (PBE-GGA).

As for the volume: 18.02 A^3/atom.

The structure belongs to space group I-42d (No. 122); the cell edges are 5.772, 5.772 and 8.652 Å and the angles 90.00°, 90.00° and 90.00°. The inequivalent atoms are Be at (0.239, 0.250, 0.125), Au at (0.000, 0.000, 0.000) and Br at (0.000, 0.000, 0.500).

---

model P is favored, and the nearest alternative lies 0.054 eV/atom above it.